Density functional theory data (GGA-PBE) for a relaxed structure of YAgMo.

Lattice parameters (Å, degrees): 4.9659 4.9659 2.8739 90.00 90.00 120.00
Space group P-6m2 (No. 187)
Asymmetric unit:
Y  0.0000  0.0000  0.0000 [1 per cell]
Ag  0.6667  0.3333  0.5000 [1 per cell]
Mo  0.3333  0.6667  0.5000 [1 per cell]

Summary:
VASP energy ... -18.68 eV/cell
Offset from the most stable computed form ... 99 meV/atom
Spin magnetization ... 0.00 μB/f.u.
DOS at the Fermi energy ... 0.937 states/eV/atom


Density functional theory data (GGA-PBE) for a relaxed structure of TbNd2ThAs4.

Lattice parameters (Å, degrees): 7.322 4.240 7.345 90.00 109.43 90.00
Space group P2/m (No. 10)
Asymmetric unit:
Tb  0.000  0.000  0.000 [1 per cell]
Nd  0.000  0.500  0.500 [1 per cell]
Nd  0.500  0.000  0.500 [1 per cell]
Th  0.500  0.500  0.000 [1 per cell]
As  0.246  0.500  0.243 [2 per cell]
As  0.249  0.000  0.755 [2 per cell]

Summary:
VASP energy ... -52.29 eV/cell
Spin magnetization ... 0.00 μB/f.u.
DOS at the Fermi energy ... 0.190 states/eV/atom


Density functional theory data (GGA-PBE) for a relaxed structure of Li2PuHgS4.

Lattice parameters (Å, degrees): 6.658 3.905 6.684 90.00 111.64 90.00
Space group P2/m (No. 10)
Asymmetric unit:
Li  0.000  0.000  0.000 [1 per cell]
Li  0.000  0.500  0.500 [1 per cell]
Pu  0.500  0.000  0.500 [1 per cell]
Hg  0.500  0.500  0.000 [1 per cell]
S  0.235  0.500  0.270 [2 per cell]
S  0.258  0.000  0.748 [2 per cell]

Summary:
VASP energy ... -42.98 eV/cell
Spin magnetization ... 4.00 μB/f.u.
DOS at the Fermi energy ... 1.097 states/eV/atom
Formation energy without anion corrections ... -1.001 eV per atom


Density functional theory data (GGA-PBE) for a relaxed structure of CuW2.

Lattice parameters (Å, degrees): 4.4630 4.4630 2.6264 90.00 90.00 120.00
Space group P-3m1 (No. 164)
Asymmetric unit:
Cu  0.0000  0.0000  0.0000 [1 per cell]
W  0.3333  0.6667  0.3294 [2 per cell]

Summary:
VASP energy ... -29.07 eV/cell
Offset from the most stable computed form ... 0 meV/atom
Spin magnetization ... 0.00 μB/f.u.
DOS at the Fermi energy ... 0.805 states/eV/atom